Entry from Alexandria via LeMat-Bulk: a relaxed Co3P crystal (PBE).

a = 2.6258 Å, b = 3.3515 Å, c = 4.8762 Å
α = 90.00°, β = 90.00°, γ = 90.00°
Last column: magnetic moment on the atom in μB.
Fractional coordinates of all 4 atoms:
Co 0.0000 0.0000 0.5000  1.51
Co 0.5000 0.5000 0.7546  0.97
Co 0.5000 0.5000 0.2454  0.97
P 0.0000 0.0000 0.0000  0.00

Properties
Total magnetization in Bohr magnetons per cell: 3.395
E above lowest polymorph in meV/atom: 279.5
Energy of formation from the pure elements in meV per atom: -63.7
Space-group type: Pmmm (47)
Calculated volume in Å³/cell: 42.9

---

Entry from Alexandria via LeMat-Bulk: a relaxed KRb2Ag2Br7 crystal (PBE).

a = 5.4465 Å, b = 5.4465 Å, c = 14.3459 Å
α = 79.06°, β = 79.06°, γ = 90.00°
Fractional coordinates of all 12 atoms:
Br 0.6954 0.6954 0.6090
Br 0.5910 0.0910 0.8178
Br 0.5000 0.5000 0.0000
Br 0.3046 0.3046 0.3910
Br 0.9090 0.4090 0.1822
Br 0.0910 0.5910 0.8178
Br 0.4090 0.9090 0.1822
Ag 0.4025 0.4025 0.1953
Ag 0.5975 0.5975 0.8047
Rb 0.1785 0.1785 0.6431
Rb 0.8215 0.8215 0.3569
K 0.0000 0.0000 0.0000

Properties
Total magnetization in Bohr magnetons per cell: 0.000
E_form (uncorrected) in eV per atom: -1.00
Space-group type: I4/mmm (139)
Calculated volume in Å³/cell: 409.9

---

Entry from Alexandria via LeMat-Bulk: a relaxed BaScCd3 crystal (PBE).

a = 5.6043 Å, b = 5.6043 Å, c = 5.6043 Å
α = 90.00°, β = 90.00°, γ = 90.00°
Fractional coordinates of all 5 atoms:
Cd 0.0000 0.0000 0.5000
Cd 0.0000 0.5000 0.0000
Cd 0.5000 0.0000 0.0000
Ba 0.5000 0.5000 0.5000
Sc 0.0000 0.0000 0.0000

Properties
Total magnetization in Bohr magnetons per cell: 0.000
E above lowest polymorph in meV/atom: 0.0
Energy of formation from the pure elements in meV per atom: 92.1
Space-group type: Pm-3m (221)
Calculated volume in Å³/cell: 176.0

---

Entry from Alexandria via LeMat-Bulk: a relaxed Hg2Pb2Br crystal (PBE).

a = 8.8646 Å, b = 8.8646 Å, c = 3.7734 Å
α = 90.00°, β = 90.00°, γ = 90.00°
Fractional coordinates of all 10 atoms:
Hg 0.1215 0.3785 0.0000
Hg 0.6215 0.1215 0.0000
Hg 0.3785 0.8785 0.0000
Hg 0.8785 0.6215 0.0000
Pb 0.8158 0.3158 0.5000
Pb 0.6842 0.8158 0.5000
Pb 0.3158 0.1842 0.5000
Pb 0.1842 0.6842 0.5000
Br 0.0000 0.0000 0.0000
Br 0.5000 0.5000 0.0000

Properties
Total magnetization in Bohr magnetons per cell: 0.000
E above lowest polymorph in meV/atom: 81.3
E_form (uncorrected) in eV per atom: -0.06
Space-group type: P4/mbm (127)
Calculated volume in Å³/cell: 296.5

---

Entry from Alexandria via LeMat-Bulk: a relaxed La3MgSc crystal (PBE).

a = 5.7602 Å, b = 5.7602 Å, c = 5.7602 Å
α = 90.00°, β = 90.00°, γ = 90.00°
Fractional coordinates of all 5 atoms:
Mg 0.5000 0.5000 0.5000
Sc 0.0000 0.0000 0.0000
La 0.0000 0.0000 0.5000
La 0.0000 0.5000 0.0000
La 0.5000 0.0000 0.0000

Properties
Total magnetization in Bohr magnetons per cell: 0.000
E above lowest polymorph in meV/atom: 465.8
Energy of formation from the pure elements in meV per atom: 501.6
Space-group type: Pm-3m (221)
Calculated volume in Å³/cell: 191.1

---

Entry from Alexandria via LeMat-Bulk: a relaxed Al2PtSe crystal (PBE).

a = 6.4923 Å, b = 6.4923 Å, c = 3.5481 Å
α = 89.99°, β = 89.99°, γ = 30.32°
Fractional coordinates of all 4 atoms:
Se 0.2197 0.2197 0.1249
Al 0.8025 0.8025 0.6249
Al 0.0171 0.0171 0.1251
Pt 0.4606 0.4606 0.6251

Properties
Total magnetization in Bohr magnetons per cell: 0.000
E_form (uncorrected) in eV per atom: -0.57
Space-group type: Amm2 (38)
Calculated volume in Å³/cell: 75.5

---

In Mg/m³, the ρ values for the records above are, in order, 8.04; 3.99; 4.90; 10.03; 4.22; 7.21.